--- 1 ---
{
  "formula": "PAu2Se",
  "functional": "GGA-PBE",
  "state": "relaxed",
  "cell": [[-1.4119, 2.7687, 4.8160], [1.4119, -2.7687, 4.8160], [1.4119, 2.7687, -4.8160]],
  "species": ["Au", "Se", "P", "Au"],
  "frac_coords": [[0.7670, 0.7670, 0.0000], [0.5000, 0.0000, 0.5000], [0.0000, 0.5000, 0.5000], [0.2330, 0.2330, 0.0000]],
  "dos_ef_per_ev_fu": 1.7,
  "spacegroup": "Immm",
  "magmom_total_mub_per_fu": 0.00
}


--- 2 ---
{
  "formula": "PAu2Se",
  "functional": "GGA-PBE",
  "state": "relaxed",
  "cell": [[-1.0897, -3.2609, -5.0053], [4.6485, -3.6585, 1.3714], [-1.3768, -6.4758, 0.8351]],
  "species": ["P", "Au", "Au", "Se", "Au", "Se", "P", "Au"],
  "frac_coords": [[0.2500, 0.7500, 0.5000], [0.1602, 0.6250, 0.2500], [0.5898, 0.1250, 0.2500], [0.0000, 0.0000, 0.0000], [0.3750, 0.4102, 0.7500], [0.7500, 0.2500, 0.5000], [0.5000, 0.5000, 0.0000], [0.8750, 0.8398, 0.7500]],
  "dos_ef_per_ev_fu": 2.8,
  "spacegroup": "I-42d",
  "magmom_total_mub_per_fu": 0.00
}


--- 3 ---
{
  "formula": "PAu2Se",
  "functional": "GGA-PBE",
  "state": "relaxed",
  "cell": [[-5.6787, -0.2905, -0.1431], [3.2047, -4.6957, 0.1788], [-0.3289, -0.4663, 2.6951]],
  "species": ["Se", "Au", "Au", "P"],
  "frac_coords": [[0.0000, 0.0000, 0.5000], [0.0000, 0.5000, 0.0000], [0.5000, 0.0000, 0.0000], [0.5000, 0.5000, 0.5000]],
  "dos_ef_per_ev_fu": 2.0,
  "spacegroup": "C2/m",
  "magmom_total_mub_per_fu": 0.00
}


Which is most stable, and by how much? 2, by 0.256 eV/atom.